(1)
TaTe2Cl6 | PBEsol | relaxed

abc: 6.7226 7.1692 11.2564
angles: 80.67 77.78 85.59
Last column: nearest neighbours and their distance in Å.
Space group P-1 (No. 2)
Inequivalent atoms, fractional coordinates:
Ta 0.2109 0.1730 0.2000 [2 per cell]  6 Cl 2.30-2.41
Te 0.2504 0.6473 0.4909 [2 per cell]  2 Te 2.70-2.71
Te 0.3905 0.4019 0.6665 [2 per cell]  2 Te 2.70-2.71
Cl 0.0576 0.4768 0.2407 [2 per cell]  1 Ta 2.41
Cl 0.1076 0.9568 0.7137 [2 per cell]  1 Ta 2.35
Cl 0.1337 0.2198 0.0071 [2 per cell]  1 Ta 2.30
Cl 0.2841 0.1295 0.4005 [2 per cell]  1 Ta 2.38
Cl 0.3575 0.8694 0.1743 [2 per cell]  1 Ta 2.35
Cl 0.4806 0.6842 0.8760 [2 per cell]  1 Ta 2.32

Properties
Formation energy (no corrections) in kJ per mole of atoms: -91.3
Electronic total energy in eV for the cell shown: -80.33

(2)
Zn2CdSb | PBEsol | relaxed

abc: 4.0260 4.0720 4.8171
angles: 90.00 90.00 90.00
Last column: nearest neighbours and their distance in Å.
Space group Pmmm (No. 47)
Inequivalent atoms, fractional coordinates:
Zn 0.0000 0.0000 0.0000 [1 per cell]  4 Sb 2.86, 4 Cd 3.14, 4 Zn 3.15
Zn 0.0000 0.5000 0.5000 [1 per cell]  4 Cd 2.86, 4 Sb 3.14, 4 Zn 3.15
Cd 0.5000 0.0000 0.5000 [1 per cell]  8 Zn 2.86-3.14, 4 Sb 3.15
Sb 0.5000 0.5000 0.0000 [1 per cell]  8 Zn 2.86-3.14, 4 Cd 3.15

Properties
Formation energy (no corrections) in kJ per mole of atoms: 16.2
Electronic total energy in eV for the cell shown: -8.25

- Which value of electronic total energy does entry 1 give?
  -80.33 eV for the cell shown